(1)
Entry from Alexandria via LeMat-Bulk: a relaxed structure of Rb2In3Ag2 (GGA-PBE).

Unit cell a=13.3365 b=4.8564 c=8.5949 alpha=90.00 beta=124.34 gamma=90.00
Closest atoms and distances in Å follow each position.
Space group C2/m (No. 12)
Asymmetric unit:
Rb1 0.1364 0.0000 0.2659 [4 per cell]  2 Ag 3.53-3.88, 2 In 3.88, 1 Rb 3.92
In1 0.0000 0.5000 0.5000 [2 per cell]  4 Ag 2.86, 2 In 3.07
In2 0.1567 0.5000 0.9323 [4 per cell]  3 Ag 2.91-3.00, 3 In 3.07-3.19
Ag1 0.1144 0.0000 0.6974 [4 per cell]  5 In 2.86-3.00, 1 Ag 3.02

Output
Fermi-level density of states in states/eV/atom: 0.235
Formation energy from the elements in meV per atom: -87
VASP energy in eV/atom: -2.3517

***

(2)
Entry from Alexandria via LeMat-Bulk: a relaxed structure of RbIn4Ag2 (GGA-PBE).

Unit cell a=7.8796 b=7.8796 c=5.8623 alpha=90.00 beta=90.00 gamma=90.00
Closest atoms and distances in Å follow each position.
Space group I4/mmm (No. 139)
Asymmetric unit:
Rb1 0.0000 0.0000 0.0000 [2 per cell]  12 In 3.39-3.65
In1 0.1958 0.1958 0.5000 [8 per cell]  4 In 3.09-3.17, 4 Ag 3.21, 1 Rb 3.39
Ag1 0.0000 0.5000 0.2500 [4 per cell]  2 Ag 2.93, 8 In 3.21

Output
Fermi-level density of states in states/eV/atom: 0.422
Formation energy from the elements in meV per atom: 25
VASP energy in eV/atom: -2.4926
Energy above the lowest structure with this stoichiometry in eV/f.u.: 0.46